# GaCo2Ni2

Crystalline GaCo2Ni2 at its relaxed geometry (PBE, Alexandria).

Output
energy of formation from the pure elements	116	meV/atom
density of states at the Fermi level	1.51	states/eV/atom
final energy	-5.64	eV/atom

Cell: 6.7950 6.7950 2.6311 Å, 90.00 90.00 90.00°
Last column: nearest neighbours and their distance in Å.
Sites, in units of the cell vectors:
Ni1 0.3757 0.8757 0.0000  6 Co 2.36-2.43, 3 Ni 2.39-2.63
Ni2 0.8757 0.6243 0.0000  6 Co 2.36-2.43, 3 Ni 2.39-2.63
Ni3 0.1243 0.3757 0.0000  6 Co 2.36-2.43, 3 Ni 2.39-2.63
Ni4 0.6243 0.1243 0.0000  6 Co 2.36-2.43, 3 Ni 2.39-2.63
Co1 0.8281 0.3281 0.5000  6 Ni 2.36-2.43, 2 Co 2.63
Co2 0.3281 0.1719 0.5000  6 Ni 2.36-2.43, 2 Co 2.63
Co3 0.1719 0.6719 0.5000  6 Ni 2.36-2.43, 2 Co 2.63
Co4 0.6719 0.8281 0.5000  6 Ni 2.36-2.43, 2 Co 2.63
Ga1 0.0000 0.0000 0.0000  2 Ga 2.63, 4 Ni 2.69, 8 Co 2.84
Ga2 0.5000 0.5000 0.0000  2 Ga 2.63, 4 Ni 2.69, 8 Co 2.84

# NaU2Cl6

Crystalline NaU2Cl6 at its relaxed geometry (PBE, Alexandria).

Output
density of states at the Fermi level	1.22	states/eV/atom
raw formation energy	-1.5476	eV per atom
final energy	-5.43	eV/atom
relative energy among the computed polymorphs	0	meV per atom

Cell: 3.7482 8.0718 9.8831 Å, 107.28 90.00 103.43°
Last column: nearest neighbours and their distance in Å.
Sites, in units of the cell vectors:
Cl1 0.0420 0.0841 0.8143  2 U 2.78, 1 Na 2.97
Cl2 0.3637 0.7275 0.4321  1 U 2.68, 2 Na 2.77
Cl3 0.9580 0.9159 0.1857  2 U 2.78, 1 Na 2.97
Cl4 0.6363 0.2725 0.5679  1 U 2.68, 2 Na 2.77
Cl5 0.3127 0.6253 0.8587  3 U 2.81-2.82
Cl6 0.6873 0.3747 0.1413  3 U 2.81-2.82
U1 0.6781 0.3561 0.8515  6 Cl 2.68-2.82
U2 0.3219 0.6439 0.1485  6 Cl 2.68-2.82
Na1 0.0000 0.0000 0.5000  6 Cl 2.77-2.97

# CeCdPdAu

Crystalline CeCdPdAu at its relaxed geometry (PBE, Alexandria).

Output
energy of formation from the pure elements	-575	meV/atom
density of states at the Fermi level	1.47	states/eV/atom
final energy	-4.41	eV/atom

Cell: 4.9531 4.9531 4.9531 Å, 60.00 60.00 60.00°
Last column: nearest neighbours and their distance in Å.
Sites, in units of the cell vectors:
Pd1 0.5000 0.5000 0.5000  4 Cd 3.03, 4 Ce 3.03
Ce1 0.2500 0.2500 0.2500  4 Pd 3.03, 4 Au 3.03
Au1 0.0000 0.0000 0.0000  4 Ce 3.03, 4 Cd 3.03
Cd1 0.7500 0.7500 0.7500  4 Pd 3.03, 4 Au 3.03

# TcBr2Cl

Crystalline TcBr2Cl at its relaxed geometry (PBE, Alexandria).

Output
density of states at the Fermi level	1.15	states/eV/atom
raw formation energy	0.3957	eV per atom
final energy	-3.49	eV/atom
relative energy among the computed polymorphs	729	meV per atom

Cell: 3.1692 3.1698 8.3663 Å, 90.00 90.00 90.00°
Last column: nearest neighbours and their distance in Å.
Sites, in units of the cell vectors:
Br1 0.0000 0.0000 0.5631  4 Tc 2.73
Br2 0.0000 0.0000 0.9369  4 Tc 2.73
Cl1 0.5000 0.5000 0.2500  4 Cl 3.17, 8 Br 3.45
Tc1 0.5000 0.5000 0.7500  8 Br 2.73

# Sn2Te2C

Crystalline Sn2Te2C at its relaxed geometry (PBE, Alexandria).

Output
density of states at the Fermi level	0.68	states/eV/atom
raw formation energy	0.9485	eV per atom
final energy	-3.75	eV/atom
relative energy among the computed polymorphs	0	meV per atom

Cell: 6.4681 6.4681 6.3154 Å, 90.00 90.00 90.00°
Last column: nearest neighbours and their distance in Å.
Sites, in units of the cell vectors:
C1 0.0000 0.0000 0.0000  4 Te 2.32
C2 0.5000 0.5000 0.0000  4 Te 2.32
Sn1 0.7342 0.2342 0.5000  2 Te 3.17, 4 Sn 3.24
Sn2 0.2342 0.2658 0.5000  2 Te 3.17, 4 Sn 3.24
Sn3 0.2658 0.7658 0.5000  2 Te 3.17, 4 Sn 3.24
Sn4 0.7658 0.7342 0.5000  2 Te 3.17, 4 Sn 3.24
Te1 0.7065 0.2065 0.0000  2 C 2.32
Te2 0.7935 0.7065 0.0000  2 C 2.32
Te3 0.2065 0.2935 0.0000  2 C 2.32
Te4 0.2935 0.7935 0.0000  2 C 2.32

# Sc2Cd2Bi

Crystalline Sc2Cd2Bi at its relaxed geometry (PBE, Alexandria).

Output
energy of formation from the pure elements	60	meV/atom
density of states at the Fermi level	0.72	states/eV/atom
final energy	-3.62	eV/atom
relative energy among the computed polymorphs	246	meV per atom

Cell: 4.5581 4.5581 7.1938 Å, 71.53 71.53 90.00°
Last column: nearest neighbours and their distance in Å.
Sites, in units of the cell vectors:
Cd1 0.3953 0.3953 0.2095  1 Cd 2.69, 4 Sc 2.95
Cd2 0.6047 0.6047 0.7905  1 Cd 2.69, 4 Sc 2.95
Bi1 0.0000 0.0000 0.0000  8 Cd 3.49
Sc1 0.2500 0.7500 0.5000  4 Cd 2.95, 4 Sc 3.22
Sc2 0.7500 0.2500 0.5000  4 Cd 2.95, 4 Sc 3.22

Question: Which of these has the lowest final energy?
Answer: GaCo2Ni2

What did the sixth record say?
# Sc2Cd2Bi

Crystalline Sc2Cd2Bi at its relaxed geometry (PBE, Alexandria).

Output
energy of formation from the pure elements	60	meV/atom
density of states at the Fermi level	0.72	states/eV/atom
final energy	-3.62	eV/atom
relative energy among the computed polymorphs	246	meV per atom

Cell: 4.5581 4.5581 7.1938 Å, 71.53 71.53 90.00°
Last column: nearest neighbours and their distance in Å.
Sites, in units of the cell vectors:
Cd1 0.3953 0.3953 0.2095  1 Cd 2.69, 4 Sc 2.95
Cd2 0.6047 0.6047 0.7905  1 Cd 2.69, 4 Sc 2.95
Bi1 0.0000 0.0000 0.0000  8 Cd 3.49
Sc1 0.2500 0.7500 0.5000  4 Cd 2.95, 4 Sc 3.22
Sc2 0.7500 0.2500 0.5000  4 Cd 2.95, 4 Sc 3.22

Question: What is the density of states at the Fermi level in the fourth record?
Answer: 1.15 states/eV/atom